Computed, not measured: an optimized crystal structure of ScHgI2Cl at the PBE level of DFT.

## Properties
As for the total energy: -16.8 eV/cell. Its volume is 169.8 Å³/cell. Its formation energy from raw total energies is -1037.3 meV per atom.

a b c (Å): 5.815 5.815 5.019
angles (deg): 90.00 90.00 90.00
Space group P4/mmm (No. 123)
One atom of each set of equivalent atoms:
1 Sc 0.000 0.000 0.000
2 Hg 0.500 0.500 0.500
3 I 0.000 0.500 0.000
4 Cl 0.000 0.000 0.500